# RbNb2WO8

A geometry-optimized RbNb2WO8 structure (PBE+U, the Alexandria database).

Lattice parameters (Å, degrees): 5.5190 5.5190 7.5021 104.58 104.58 69.73
Last column: nearest neighbours and their distance in Å.
Sites, in units of the cell vectors:
Rb 0.0000 0.0000 0.0000  4 O 2.79
Nb 0.4394 0.4394 0.7778  5 O 1.89-2.05
Nb 0.5606 0.5606 0.2222  5 O 1.89-2.05
W 0.0000 0.0000 0.5000  6 O 1.90-2.07
O 0.2179 0.2179 0.6167  1 W 1.90, 1 Nb 2.00
O 0.2198 0.7419 0.6802  1 Nb 1.89, 1 W 2.07
O 0.2581 0.7802 0.3198  1 Nb 1.89, 1 W 2.07
O 0.3622 0.3622 0.9969  2 Nb 1.97-2.05
O 0.6378 0.6378 0.0031  2 Nb 1.97-2.05
O 0.7419 0.2198 0.6802  1 Nb 1.89, 1 W 2.07
O 0.7802 0.2581 0.3198  1 Nb 1.89, 1 W 2.07
O 0.7821 0.7821 0.3833  1 W 1.90, 1 Nb 2.00

density of states at the Fermi level: 0.00 states/eV/f.u.
total DFT energy (no corrections): -7.9569 eV per atom